(1)
DFT (PBE-GGA) results for an optimized crystal structure of PmSm6Dy3Ho2.

SG: No. 12

Unit cell a=6.224 b=6.224 c=11.872 alpha=95.00 beta=95.00 gamma=119.98
Atoms (fractional coordinates):
Pm (0.000, 0.000, 0.000)
Sm (0.084, 0.418, 0.251)
Sm (0.250, 0.250, 0.749)
Sm (0.418, 0.084, 0.251)
Sm (0.582, 0.916, 0.749)
Sm (0.750, 0.750, 0.251)
Sm (0.916, 0.582, 0.749)
Dy (0.167, 0.833, 0.500)
Dy (0.500, 0.500, 0.500)
Dy (0.833, 0.167, 0.500)
Ho (0.333, 0.667, 0.000)
Ho (0.667, 0.333, 0.000)


(2)
DFT (PBE-GGA) results for an optimized crystal structure of PmSm2Dy4Ho2.

SG: No. 12

Unit cell a=9.510 b=9.510 c=9.571 alpha=115.20 beta=115.20 gamma=21.84
Atoms (fractional coordinates):
Pm (0.000, 0.000, 0.000)
Sm (0.148, 0.148, 0.666)
Sm (0.852, 0.852, 0.334)
Dy (0.185, 0.185, 0.334)
Dy (0.481, 0.481, 0.667)
Dy (0.519, 0.519, 0.333)
Dy (0.815, 0.815, 0.666)
Ho (0.332, 0.332, 0.998)
Ho (0.668, 0.668, 0.002)


(3)
DFT (PBE-GGA) results for an optimized crystal structure of Pm2SmDyHo6.

SG: No. 15

Unit cell a=8.760 b=8.760 c=9.669 alpha=94.50 beta=94.50 gamma=118.01
Atoms (fractional coordinates):
Pm (0.194, 0.297, 0.043)
Pm (0.297, 0.194, 0.543)
Pm (0.703, 0.806, 0.457)
Pm (0.806, 0.703, 0.957)
Sm (0.019, 0.981, 0.250)
Sm (0.981, 0.019, 0.750)
Dy (0.407, 0.593, 0.750)
Dy (0.593, 0.407, 0.250)
Ho (0.021, 0.573, 0.186)
Ho (0.123, 0.743, 0.557)
Ho (0.257, 0.877, 0.943)
Ho (0.294, 0.506, 0.380)
Ho (0.427, 0.979, 0.314)
Ho (0.494, 0.706, 0.120)
Ho (0.506, 0.294, 0.880)
Ho (0.573, 0.021, 0.686)
Ho (0.706, 0.494, 0.620)
Ho (0.743, 0.123, 0.057)
Ho (0.877, 0.257, 0.443)
Ho (0.979, 0.427, 0.814)


(4)
DFT (PBE-GGA) results for an optimized crystal structure of Pm6Sm2Dy3Ho.

SG: No. 12

Unit cell a=6.258 b=6.258 c=11.920 alpha=95.01 beta=95.01 gamma=119.99
Atoms (fractional coordinates):
Pm (0.084, 0.417, 0.751)
Pm (0.249, 0.249, 0.248)
Pm (0.417, 0.084, 0.751)
Pm (0.583, 0.916, 0.249)
Pm (0.751, 0.751, 0.752)
Pm (0.916, 0.583, 0.249)
Sm (0.333, 0.667, 0.500)
Sm (0.667, 0.333, 0.500)
Dy (0.166, 0.834, 0.000)
Dy (0.500, 0.500, 0.000)
Dy (0.834, 0.166, 0.000)
Ho (0.000, 0.000, 0.500)


(5)
DFT (PBE-GGA) results for an optimized crystal structure of Pm2SmDy2Ho.

SG: No. 58

Unit cell a=6.613 b=17.987 c=3.391 alpha=90.00 beta=90.00 gamma=90.00
Atoms (fractional coordinates):
Pm (0.231, 0.185, 0.000)
Pm (0.269, 0.685, 0.500)
Pm (0.731, 0.315, 0.500)
Pm (0.769, 0.815, 0.000)
Sm (0.000, 0.500, 0.000)
Sm (0.500, 0.000, 0.500)
Dy (0.229, 0.353, 0.500)
Dy (0.271, 0.853, 0.000)
Dy (0.729, 0.147, 0.000)
Dy (0.771, 0.647, 0.500)
Ho (0.000, 0.000, 0.000)
Ho (0.500, 0.500, 0.500)


(6)
DFT (PBE-GGA) results for an optimized crystal structure of PmSm5Dy2Ho.

SG: No. 36

Unit cell a=10.505 b=10.505 c=10.688 alpha=90.00 beta=90.00 gamma=148.84
Atoms (fractional coordinates):
Pm (0.201, 0.799, 0.500)
Pm (0.799, 0.201, 0.000)
Sm (0.017, 0.983, 0.513)
Sm (0.281, 0.719, 0.798)
Sm (0.298, 0.702, 0.195)
Sm (0.392, 0.608, 0.515)
Sm (0.479, 0.521, 0.231)
Sm (0.521, 0.479, 0.731)
Sm (0.608, 0.392, 0.015)
Sm (0.702, 0.298, 0.695)
Sm (0.719, 0.281, 0.298)
Sm (0.983, 0.017, 0.013)
Dy (0.110, 0.890, 0.227)
Dy (0.116, 0.884, 0.808)
Dy (0.884, 0.116, 0.308)
Dy (0.890, 0.110, 0.727)
Ho (0.411, 0.589, 0.948)
Ho (0.589, 0.411, 0.448)


(7)
DFT (PBE-GGA) results for an optimized crystal structure of PmSmDy2Ho2.

SG: No. 58

Unit cell a=6.582 b=17.779 c=3.391 alpha=90.00 beta=90.00 gamma=90.00
Atoms (fractional coordinates):
Pm (0.000, 0.000, 0.000)
Pm (0.500, 0.500, 0.500)
Sm (0.000, 0.500, 0.000)
Sm (0.500, 0.000, 0.500)
Dy (0.228, 0.184, 0.000)
Dy (0.272, 0.684, 0.500)
Dy (0.728, 0.316, 0.500)
Dy (0.772, 0.816, 0.000)
Ho (0.226, 0.351, 0.500)
Ho (0.274, 0.851, 0.000)
Ho (0.726, 0.149, 0.000)
Ho (0.774, 0.649, 0.500)


(8)
DFT (PBE-GGA) results for an optimized crystal structure of PmSmDy4Ho2.

SG: No. 74

Unit cell a=9.498 b=9.498 c=9.498 alpha=138.05 beta=103.33 gamma=91.48
Atoms (fractional coordinates):
Pm (0.000, 0.000, 0.000)
Pm (0.500, 0.000, 0.500)
Sm (0.500, 0.000, 0.000)
Sm (0.500, 0.500, 0.500)
Dy (0.246, 0.748, 0.498)
Dy (0.247, 0.249, 0.502)
Dy (0.247, 0.746, 0.998)
Dy (0.250, 0.252, 0.998)
Dy (0.750, 0.748, 0.002)
Dy (0.753, 0.254, 0.002)
Dy (0.753, 0.751, 0.498)
Dy (0.754, 0.252, 0.502)
Ho (0.000, 0.000, 0.500)
Ho (0.000, 0.500, 0.000)
Ho (0.000, 0.500, 0.500)
Ho (0.500, 0.500, 0.000)


(9)
DFT (PBE-GGA) results for an optimized crystal structure of Pm3SmDy6Ho2.

SG: No. 12

Unit cell a=6.190 b=6.190 c=11.823 alpha=94.99 beta=94.99 gamma=119.97
Atoms (fractional coordinates):
Pm (0.000, 0.000, 0.000)
Pm (0.333, 0.667, 0.000)
Pm (0.667, 0.333, 0.000)
Sm (0.500, 0.500, 0.500)
Dy (0.083, 0.417, 0.252)
Dy (0.249, 0.249, 0.748)
Dy (0.417, 0.083, 0.252)
Dy (0.583, 0.917, 0.748)
Dy (0.751, 0.751, 0.252)
Dy (0.917, 0.583, 0.748)
Ho (0.167, 0.833, 0.500)
Ho (0.833, 0.167, 0.500)


(10)
DFT (PBE-GGA) results for an optimized crystal structure of PmSmDy2Ho4.

SG: No. 15

Unit cell a=9.488 b=9.488 c=6.795 alpha=110.98 beta=110.98 gamma=88.56
Atoms (fractional coordinates):
Pm (0.000, 0.500, 0.000)
Pm (0.500, 0.000, 0.500)
Sm (0.000, 0.000, 0.000)
Sm (0.000, 0.000, 0.500)
Dy (0.000, 0.500, 0.500)
Dy (0.500, 0.000, 0.000)
Dy (0.500, 0.500, 0.000)
Dy (0.500, 0.500, 0.500)
Ho (0.251, 0.253, 0.500)
Ho (0.252, 0.748, 0.501)
Ho (0.252, 0.748, 0.999)
Ho (0.253, 0.251, 0.000)
Ho (0.747, 0.749, 0.000)
Ho (0.748, 0.252, 0.001)
Ho (0.748, 0.252, 0.499)
Ho (0.749, 0.747, 0.500)


(11)
DFT (PBE-GGA) results for an optimized crystal structure of Pm2Sm6DyHo.

SG: No. 15

Unit cell a=8.907 b=8.907 c=9.755 alpha=94.29 beta=94.29 gamma=118.18
Atoms (fractional coordinates):
Pm (0.196, 0.298, 0.043)
Pm (0.298, 0.196, 0.543)
Pm (0.702, 0.804, 0.457)
Pm (0.804, 0.702, 0.957)
Sm (0.018, 0.573, 0.188)
Sm (0.123, 0.753, 0.556)
Sm (0.247, 0.877, 0.944)
Sm (0.291, 0.502, 0.380)
Sm (0.427, 0.982, 0.312)
Sm (0.498, 0.709, 0.120)
Sm (0.502, 0.291, 0.880)
Sm (0.573, 0.018, 0.688)
Sm (0.709, 0.498, 0.620)
Sm (0.753, 0.123, 0.056)
Sm (0.877, 0.247, 0.444)
Sm (0.982, 0.427, 0.812)
Dy (0.021, 0.979, 0.250)
Dy (0.979, 0.021, 0.750)
Ho (0.408, 0.592, 0.750)
Ho (0.592, 0.408, 0.250)


(12)
DFT (PBE-GGA) results for an optimized crystal structure of Pm6Sm2DyHo.

SG: No. 15

Unit cell a=8.939 b=8.939 c=9.735 alpha=94.15 beta=94.15 gamma=118.12
Atoms (fractional coordinates):
Pm (0.016, 0.571, 0.188)
Pm (0.122, 0.756, 0.555)
Pm (0.244, 0.878, 0.945)
Pm (0.291, 0.503, 0.381)
Pm (0.429, 0.984, 0.312)
Pm (0.497, 0.709, 0.119)
Pm (0.503, 0.291, 0.881)
Pm (0.571, 0.016, 0.688)
Pm (0.709, 0.497, 0.619)
Pm (0.756, 0.122, 0.055)
Pm (0.878, 0.244, 0.445)
Pm (0.984, 0.429, 0.812)
Sm (0.197, 0.299, 0.043)
Sm (0.299, 0.197, 0.543)
Sm (0.701, 0.803, 0.457)
Sm (0.803, 0.701, 0.957)
Dy (0.023, 0.977, 0.250)
Dy (0.977, 0.023, 0.750)
Ho (0.409, 0.591, 0.750)
Ho (0.591, 0.409, 0.250)


(13)
DFT (PBE-GGA) results for an optimized crystal structure of PmSm2Dy3Ho6.

SG: No. 12

Unit cell a=6.160 b=6.160 c=11.759 alpha=94.99 beta=94.99 gamma=119.96
Atoms (fractional coordinates):
Pm (0.000, 0.000, 0.000)
Sm (0.333, 0.667, 0.000)
Sm (0.667, 0.333, 0.000)
Dy (0.167, 0.833, 0.500)
Dy (0.500, 0.500, 0.500)
Dy (0.833, 0.167, 0.500)
Ho (0.085, 0.418, 0.252)
Ho (0.249, 0.249, 0.748)
Ho (0.418, 0.085, 0.252)
Ho (0.582, 0.915, 0.748)
Ho (0.751, 0.751, 0.252)
Ho (0.915, 0.582, 0.748)


(14)
DFT (PBE-GGA) results for an optimized crystal structure of Pm2SmDy6Ho3.

SG: No. 12

Unit cell a=6.170 b=6.170 c=11.795 alpha=94.99 beta=94.99 gamma=119.97
Atoms (fractional coordinates):
Pm (0.167, 0.833, 0.000)
Pm (0.833, 0.167, 0.000)
Sm (0.500, 0.500, 0.000)
Dy (0.082, 0.415, 0.747)
Dy (0.252, 0.252, 0.253)
Dy (0.415, 0.082, 0.747)
Dy (0.585, 0.918, 0.253)
Dy (0.748, 0.748, 0.747)
Dy (0.918, 0.585, 0.253)
Ho (0.000, 0.000, 0.500)
Ho (0.333, 0.667, 0.500)
Ho (0.667, 0.333, 0.500)


(15)
DFT (PBE-GGA) results for an optimized crystal structure of Pm2Sm2Dy4Ho.

SG: No. 12

Unit cell a=9.552 b=9.552 c=9.612 alpha=115.22 beta=115.22 gamma=21.81
Atoms (fractional coordinates):
Pm (0.165, 0.165, 0.001)
Pm (0.835, 0.835, 0.999)
Sm (0.353, 0.353, 0.336)
Sm (0.647, 0.647, 0.664)
Dy (0.019, 0.019, 0.332)
Dy (0.315, 0.315, 0.665)
Dy (0.685, 0.685, 0.335)
Dy (0.981, 0.981, 0.668)
Ho (0.500, 0.500, 0.000)


(16)
DFT (PBE-GGA) results for an optimized crystal structure of Pm4SmDyHo2.

SG: No. 10

Unit cell a=6.237 b=3.610 c=11.905 alpha=90.00 beta=100.18 gamma=90.00
Atoms (fractional coordinates):
Pm (0.249, 0.000, 0.248)
Pm (0.250, 0.500, 0.751)
Pm (0.750, 0.500, 0.249)
Pm (0.751, 0.000, 0.752)
Sm (0.500, 0.500, 0.500)
Dy (0.500, 0.000, 0.000)
Ho (0.000, 0.000, 0.500)
Ho (0.000, 0.500, 0.000)


(17)
DFT (PBE-GGA) results for an optimized crystal structure of PmSmDyHo2.

SG: No. 63

Unit cell a=8.884 b=8.884 c=6.406 alpha=90.00 beta=90.00 gamma=137.68
Atoms (fractional coordinates):
Pm (0.158, 0.842, 0.750)
Pm (0.842, 0.158, 0.250)
Sm (0.343, 0.657, 0.750)
Sm (0.657, 0.343, 0.250)
Dy (0.236, 0.764, 0.250)
Dy (0.764, 0.236, 0.750)
Ho (0.248, 0.248, 0.000)
Ho (0.248, 0.248, 0.500)
Ho (0.752, 0.752, 0.000)
Ho (0.752, 0.752, 0.500)


(18)
DFT (PBE-GGA) results for an optimized crystal structure of Pm6SmDy3Ho2.

SG: No. 12

Unit cell a=6.244 b=6.244 c=11.871 alpha=95.01 beta=95.01 gamma=119.98
Atoms (fractional coordinates):
Pm (0.082, 0.416, 0.250)
Pm (0.250, 0.250, 0.750)
Pm (0.416, 0.082, 0.250)
Pm (0.584, 0.918, 0.750)
Pm (0.750, 0.750, 0.250)
Pm (0.918, 0.584, 0.750)
Sm (0.500, 0.500, 0.500)
Dy (0.000, 0.000, 0.000)
Dy (0.333, 0.667, 0.000)
Dy (0.667, 0.333, 0.000)
Ho (0.167, 0.833, 0.500)
Ho (0.833, 0.167, 0.500)


(19)
DFT (PBE-GGA) results for an optimized crystal structure of Pm3Sm6Dy2Ho.

SG: No. 12

Unit cell a=6.256 b=6.256 c=11.957 alpha=95.00 beta=95.00 gamma=119.99
Atoms (fractional coordinates):
Pm (0.000, 0.000, 0.000)
Pm (0.333, 0.667, 0.000)
Pm (0.667, 0.333, 0.000)
Sm (0.084, 0.417, 0.253)
Sm (0.249, 0.249, 0.747)
Sm (0.417, 0.084, 0.253)
Sm (0.583, 0.916, 0.747)
Sm (0.751, 0.751, 0.253)
Sm (0.916, 0.583, 0.747)
Dy (0.167, 0.833, 0.500)
Dy (0.833, 0.167, 0.500)
Ho (0.500, 0.500, 0.500)


Number 1: DOS at the Fermi energy 14.75 states/eV/cell, energy of formation 0.0140 eV/atom. Number 2: DOS at the Fermi energy 11.66 states/eV/cell, energy of formation 0.0043 eV/atom. Number 3: DOS at the Fermi energy 28.06 states/eV/cell, energy of formation 0.1178 eV/atom. Number 4: DOS at the Fermi energy 15.13 states/eV/cell, energy of formation 0.0129 eV/atom. Number 5: DOS at the Fermi energy 19.78 states/eV/cell, energy of formation 0.2646 eV/atom. Number 6: DOS at the Fermi energy 28.51 states/eV/cell, energy of formation 0.1474 eV/atom. Number 7: DOS at the Fermi energy 18.88 states/eV/cell, energy of formation 0.2773 eV/atom. Number 8: DOS at the Fermi energy 34.38 states/eV/cell, energy of formation 0.4314 eV/atom. Number 9: DOS at the Fermi energy 15.27 states/eV/cell, energy of formation 0.0156 eV/atom. Number 10: DOS at the Fermi energy 34.11 states/eV/cell, energy of formation 0.4339 eV/atom. Number 11: DOS at the Fermi energy 28.31 states/eV/cell, energy of formation 0.1164 eV/atom. Number 12: DOS at the Fermi energy 28.15 states/eV/cell, energy of formation 0.1157 eV/atom. Number 13: DOS at the Fermi energy 15.37 states/eV/cell, energy of formation 0.0170 eV/atom. Number 14: DOS at the Fermi energy 15.47 states/eV/cell, energy of formation 0.0168 eV/atom. Number 15: DOS at the Fermi energy 11.78 states/eV/cell, energy of formation 0.0027 eV/atom. Number 16: DOS at the Fermi energy 10.88 states/eV/cell, energy of formation 0.0159 eV/atom. Number 17: DOS at the Fermi energy 16.44 states/eV/cell, energy of formation 0.3518 eV/atom. Number 18: DOS at the Fermi energy 14.51 states/eV/cell, energy of formation 0.0127 eV/atom. Number 19: DOS at the Fermi energy 15.92 states/eV/cell, energy of formation 0.0148 eV/atom.